# NiBiS3 | Alexandria via LeMat-Bulk | PBE-GGA | relaxed
# M_tot ... 2.2 μB/cell
# Excess energy over the best structure of this formula in the dataset ... 1009 meV per atom
# Volume ... 137 Å³/cell
# ΔE_f (raw) ... 5.40 eV per formula unit
# VASP energy ... -3.328 eV/atom
data_NiBiS3
_cell_length_a 5.1555
_cell_length_b 5.1555
_cell_length_c 5.1555
_cell_angle_alpha 90.00
_cell_angle_beta 90.00
_cell_angle_gamma 90.00
_space_group_name_H-M_alt 'P m -3 m'
_space_group_IT_number 221
_space_group_name_Hall '-P 4 2 3'
loop_
_atom_site_label
_atom_site_fract_x
_atom_site_fract_y
_atom_site_fract_z
Ni1 0.0000 0.0000 0.0000
Bi1 0.5000 0.5000 0.5000
S1 0.0000 0.5000 0.5000

---

# Pr6Bi3Sb2Se | Alexandria via LeMat-Bulk | PBE-GGA | relaxed
# M_tot ... 0.0 μB/cell
# Volume ... 803 Å³/cell
# ΔE_f (raw) ... -14.22 eV per formula unit
# VASP energy ... -5.522 eV/atom
data_Pr6Bi3Sb2Se
_cell_length_a 19.8396
_cell_length_b 4.5578
_cell_length_c 9.1190
_cell_angle_alpha 90.00
_cell_angle_beta 103.28
_cell_angle_gamma 90.00
_space_group_name_H-M_alt 'C 1 2/m 1'
_space_group_IT_number 12
loop_
_space_group_symop_operation_xyz
'x,y,z'
'-x,-y,-z'
'-x,y,-z'
'x,-y,z'
'x+1/2,y+1/2,z'
'-x+1/2,-y+1/2,-z'
'-x+1/2,y+1/2,-z'
'x+1/2,-y+1/2,z'
loop_
_atom_site_label
_atom_site_fract_x
_atom_site_fract_y
_atom_site_fract_z
Pr1 0.0001 0.0000 0.2420
Pr2 0.1621 0.5000 0.0848
Pr3 0.1679 0.5000 0.5801
Bi1 0.0000 0.5000 0.5000
Bi2 0.1679 0.0000 0.8348
Sb1 0.1654 0.0000 0.3317
Se1 0.0000 0.5000 0.0000

---

# ZrNiSn2Mo | Alexandria via LeMat-Bulk | PBE-GGA | relaxed
# M_tot ... 0.9 μB/cell
# Volume ... 106 Å³/cell
# VASP energy ... -6.078 eV/atom
data_ZrNiSn2Mo
_cell_length_a 4.7697
_cell_length_b 4.7697
_cell_length_c 4.6668
_cell_angle_alpha 90.00
_cell_angle_beta 90.00
_cell_angle_gamma 90.00
_space_group_name_H-M_alt 'P 4/m m m'
_space_group_IT_number 123
_space_group_name_Hall '-P 4 2'
loop_
_atom_site_label
_atom_site_fract_x
_atom_site_fract_y
_atom_site_fract_z
Zr1 0.0000 0.0000 0.0000
Ni1 0.5000 0.5000 0.5000
Sn1 0.0000 0.5000 0.5000
Mo1 0.5000 0.5000 0.0000

---

# Hg3MoPd | Alexandria via LeMat-Bulk | PBE-GGA | relaxed
# M_tot ... 5.1 μB/cell
# Excess energy over the best structure of this formula in the dataset ... 0 meV per atom
# Volume ... 142 Å³/cell
# VASP energy ... -2.441 eV/atom
data_Hg3MoPd
_cell_length_a 5.2182
_cell_length_b 5.2182
_cell_length_c 5.2182
_cell_angle_alpha 90.00
_cell_angle_beta 90.00
_cell_angle_gamma 90.00
_space_group_name_H-M_alt 'P m -3 m'
_space_group_IT_number 221
_space_group_name_Hall '-P 4 2 3'
loop_
_atom_site_label
_atom_site_fract_x
_atom_site_fract_y
_atom_site_fract_z
Hg1 0.0000 0.0000 0.5000
Mo1 0.5000 0.5000 0.5000
Pd1 0.0000 0.0000 0.0000

---

# Nd7Er2Tm3 | Alexandria via LeMat-Bulk | PBE-GGA | relaxed
# M_tot ... 0.0 μB/cell
# Excess energy over the best structure of this formula in the dataset ... 191 meV per atom
# Volume ... 830 Å³/cell
# VASP energy ... -4.397 eV/atom
data_Nd7Er2Tm3
_cell_length_a 5.5127
_cell_length_b 32.4319
_cell_length_c 4.6433
_cell_angle_alpha 90.00
_cell_angle_beta 90.00
_cell_angle_gamma 90.00
_space_group_name_H-M_alt 'C m m m'
_space_group_IT_number 65
_space_group_name_Hall '-C 2 2'
loop_
_atom_site_label
_atom_site_fract_x
_atom_site_fract_y
_atom_site_fract_z
Nd1 0.0000 0.0000 0.0000
Nd2 0.0000 0.0792 0.5000
Nd3 0.0000 0.2645 0.0000
Nd4 0.0000 0.4164 0.0000
Er1 0.0000 0.1597 0.0000
Tm1 0.0000 0.3417 0.5000
Tm2 0.0000 0.5000 0.5000

---

# LiAc3Os | Alexandria via LeMat-Bulk | PBE-GGA | relaxed
# M_tot ... 0.0 μB/cell
# Excess energy over the best structure of this formula in the dataset ... 0 meV per atom
# Volume ... 351 Å³/cell
# VASP energy ... -5.084 eV/atom
data_LiAc3Os
_cell_length_a 6.4518
_cell_length_b 6.9009
_cell_length_c 9.0643
_cell_angle_alpha 73.28
_cell_angle_beta 81.43
_cell_angle_gamma 65.41
_space_group_name_H-M_alt 'P -1'
_space_group_IT_number 2
loop_
_space_group_symop_operation_xyz
'x,y,z'
'-x,-y,-z'
loop_
_atom_site_label
_atom_site_fract_x
_atom_site_fract_y
_atom_site_fract_z
Li1 0.1452 0.2768 0.0086
Ac1 0.0355 0.6697 0.6218
Ac2 0.3374 0.6818 0.1845
Ac3 0.3797 0.9739 0.7116
Os1 0.4211 0.3645 0.4757

---

# MoIrPb2 | Alexandria via LeMat-Bulk | PBE-GGA | relaxed
# M_tot ... 0.0 μB/cell
# Excess energy over the best structure of this formula in the dataset ... 486 meV per atom
# Volume ... 312 Å³/cell
# VASP energy ... -6.075 eV/atom
data_MoIrPb2
_cell_length_a 6.7828
_cell_length_b 6.7828
_cell_length_c 6.7828
_cell_angle_alpha 90.00
_cell_angle_beta 90.00
_cell_angle_gamma 90.00
_space_group_name_H-M_alt 'F m -3 m'
_space_group_IT_number 225
_space_group_name_Hall '-F 4 2 3'
loop_
_atom_site_label
_atom_site_fract_x
_atom_site_fract_y
_atom_site_fract_z
Mo1 0.0000 0.0000 0.0000
Ir1 0.0000 0.0000 0.5000
Pb1 0.2500 0.2500 0.2500

---

# Al2B13 | Alexandria via LeMat-Bulk | PBE-GGA | relaxed
# M_tot ... 0.0 μB/cell
# Volume ... 362 Å³/cell
# VASP energy ... -5.819 eV/atom
data_Al2B13
_cell_length_a 4.7369
_cell_length_b 4.7369
_cell_length_c 18.6107
_cell_angle_alpha 90.00
_cell_angle_beta 90.00
_cell_angle_gamma 120.00
_space_group_name_H-M_alt 'R -3 m'
_space_group_IT_number 166
_space_group_name_Hall '-R 3 2"'
loop_
_atom_site_label
_atom_site_fract_x
_atom_site_fract_y
_atom_site_fract_z
Al1 0.0000 0.0000 0.2162
B1 0.0000 0.0000 0.5000
B2 0.0827 0.5414 0.7601
B3 0.0966 0.5483 0.0399

---

# CeSmRh2 | Alexandria via LeMat-Bulk | PBE-GGA | relaxed
# M_tot ... 0.5 μB/cell
# Volume ... 176 Å³/cell
# VASP energy ... -7.098 eV/atom
data_CeSmRh2
_cell_length_a 4.1826
_cell_length_b 3.8572
_cell_length_c 10.9150
_cell_angle_alpha 90.00
_cell_angle_beta 90.00
_cell_angle_gamma 90.00
_space_group_name_H-M_alt 'A m m 2'
_space_group_IT_number 38
loop_
_space_group_symop_operation_xyz
'x,y,z'
'-x,-y,z'
'-x,y,z'
'x,-y,z'
'x,y+1/2,z+1/2'
'-x,-y+1/2,z+1/2'
'-x,y+1/2,z+1/2'
'x,-y+1/2,z+1/2'
loop_
_atom_site_label
_atom_site_fract_x
_atom_site_fract_y
_atom_site_fract_z
Ce1 0.0000 0.0000 0.0000
Sm1 0.5000 0.0000 0.7225
Rh1 0.0000 0.0000 0.2688
Rh2 0.5000 0.0000 0.4540

---

# Si2HPdW | Alexandria via LeMat-Bulk | PBE-GGA | relaxed
# M_tot ... 0.0 μB/cell
# Volume ... 78 Å³/cell
# VASP energy ... -5.886 eV/atom
data_Si2HPdW
_cell_length_a 4.7544
_cell_length_b 4.7544
_cell_length_c 3.4552
_cell_angle_alpha 90.00
_cell_angle_beta 90.00
_cell_angle_gamma 90.00
_space_group_name_H-M_alt 'P 4/m m m'
_space_group_IT_number 123
_space_group_name_Hall '-P 4 2'
loop_
_atom_site_label
_atom_site_fract_x
_atom_site_fract_y
_atom_site_fract_z
Si1 0.0000 0.5000 0.0000
H1 0.0000 0.0000 0.5000
Pd1 0.5000 0.5000 0.5000
W1 0.0000 0.0000 0.0000

---

# Dy2CdSn | Alexandria via LeMat-Bulk | PBE-GGA | relaxed
# M_tot ... 0.0 μB/cell
# Volume ... 104 Å³/cell
# VASP energy ... -4.036 eV/atom
data_Dy2CdSn
_cell_length_a 4.9715
_cell_length_b 4.9715
_cell_length_c 4.2243
_cell_angle_alpha 90.00
_cell_angle_beta 90.00
_cell_angle_gamma 90.00
_space_group_name_H-M_alt 'P 4/m m m'
_space_group_IT_number 123
_space_group_name_Hall '-P 4 2'
loop_
_atom_site_label
_atom_site_fract_x
_atom_site_fract_y
_atom_site_fract_z
Dy1 0.0000 0.5000 0.0000
Cd1 0.0000 0.0000 0.5000
Sn1 0.5000 0.5000 0.5000

---

# Nd5Tl2Bi2 | Alexandria via LeMat-Bulk | PBE-GGA | relaxed
# M_tot ... 0.0 μB/cell
# Volume ... 1177 Å³/cell
# VASP energy ... -4.660 eV/atom
data_Nd5Tl2Bi2
_cell_length_a 16.3010
_cell_length_b 8.5073
_cell_length_c 8.4875
_cell_angle_alpha 90.00
_cell_angle_beta 90.00
_cell_angle_gamma 90.00
_space_group_name_H-M_alt 'C m c e'
_space_group_IT_number 64
_space_group_name_Hall '-C 2ac 2'
loop_
_atom_site_label
_atom_site_fract_x
_atom_site_fract_y
_atom_site_fract_z
Nd1 0.0000 0.0000 0.0000
Nd2 0.1363 0.1719 0.3326
Tl1 0.0000 0.1295 0.6281
Bi1 0.2041 0.0000 0.0000

---

# Mo3ICl | Alexandria via LeMat-Bulk | PBE-GGA | relaxed
# M_tot ... 0.0 μB/cell
# Excess energy over the best structure of this formula in the dataset ... 0 meV per atom
# Volume ... 93 Å³/cell
# ΔE_f (raw) ... 7.22 eV per formula unit
# VASP energy ... -5.733 eV/atom
data_Mo3ICl
_cell_length_a 4.5386
_cell_length_b 4.5386
_cell_length_c 4.5386
_cell_angle_alpha 90.00
_cell_angle_beta 90.00
_cell_angle_gamma 90.00
_space_group_name_H-M_alt 'P m -3 m'
_space_group_IT_number 221
_space_group_name_Hall '-P 4 2 3'
loop_
_atom_site_label
_atom_site_fract_x
_atom_site_fract_y
_atom_site_fract_z
Mo1 0.0000 0.0000 0.5000
I1 0.5000 0.5000 0.5000
Cl1 0.0000 0.0000 0.0000

---

# RbAgAu2 | Alexandria via LeMat-Bulk | PBE-GGA | relaxed
# M_tot ... 0.0 μB/cell
# Excess energy over the best structure of this formula in the dataset ... 2 meV per atom
# Volume ... 255 Å³/cell
# VASP energy ... -2.759 eV/atom
data_RbAgAu2
_cell_length_a 4.8508
_cell_length_b 8.4583
_cell_length_c 6.2038
_cell_angle_alpha 90.00
_cell_angle_beta 90.00
_cell_angle_gamma 90.00
_space_group_name_H-M_alt 'P m m n'
_space_group_IT_number 59
loop_
_space_group_symop_operation_xyz
'x,y,z'
'-x,-y,-z'
'-x+1/2,-y+1/2,z'
'x+1/2,y+1/2,-z'
'x+1/2,-y,-z'
'-x+1/2,y,z'
'-x,y+1/2,-z'
'x,-y+1/2,z'
loop_
_atom_site_label
_atom_site_fract_x
_atom_site_fract_y
_atom_site_fract_z
Rb1 0.2500 0.2500 0.0009
Ag1 0.2500 0.7500 0.4993
Au1 0.2500 0.0809 0.5007